(1)
Entry from Alexandria: crystalline CsTePdN2 at its relaxed geometry (PBE).

```
5
Lattice="4.339 0.000 0.000 0.000 4.339 0.000 0.000 0.000 7.916" Properties=species:S:1:pos:R:3 pbc="T T T"
Cs 0.000 0.000 0.000
Te 0.000 0.000 3.958
Pd 2.169 2.169 3.958
N 0.000 2.169 0.000
N 2.169 0.000 0.000
```

Calculated values
SG = P4/mmm (123)
ΔE_f (raw) = 11.743 eV/f.u.
Excess energy over the best structure of this formula in the dataset = 0.991 eV/atom

=====

(2)
Entry from Alexandria: crystalline CsTePdN2 at its relaxed geometry (PBE).

```
5
Lattice="4.689 0.000 0.000 0.000 4.689 0.000 0.000 0.000 5.437" Properties=species:S:1:pos:R:3 pbc="T T T"
Cs 2.344 2.344 2.719
Te 0.000 0.000 2.719
Pd 0.000 0.000 0.000
N 0.000 2.344 0.000
N 2.344 0.000 0.000
```

Calculated values
SG = P4/mmm (123)
ΔE_f (raw) = 6.788 eV/f.u.
Excess energy over the best structure of this formula in the dataset = 0.000 eV/atom

=====

(3)
Entry from Alexandria: crystalline CsTlPd2N at its relaxed geometry (PBE).

```
5
Lattice="5.341 0.000 0.000 0.000 7.832 0.000 0.000 0.000 5.341" Properties=species:S:1:pos:R:3 pbc="T T T"
Cs 0.000 0.000 0.000
Tl 0.000 3.916 0.000
Pd 0.000 0.000 2.671
Pd 2.671 0.000 0.000
N 2.671 3.916 2.671
```

Calculated values
SG = P4/mmm (123)
ΔE_f (raw) = 9.745 eV/f.u.

=====

The lowest ΔE_f (raw) belongs to which entry? number 2

=====

ΔE_f (raw) of number 1 (CsTePdN2)? 11.743 eV/f.u.

=====

What did the third record say?
Entry from Alexandria: crystalline CsTlPd2N at its relaxed geometry (PBE).

```
5
Lattice="5.341 0.000 0.000 0.000 7.832 0.000 0.000 0.000 5.341" Properties=species:S:1:pos:R:3 pbc="T T T"
Cs 0.000 0.000 0.000
Tl 0.000 3.916 0.000
Pd 0.000 0.000 2.671
Pd 2.671 0.000 0.000
N 2.671 3.916 2.671
```

Calculated values
SG = P4/mmm (123)
ΔE_f (raw) = 9.745 eV/f.u.